## BeReTe2I (GGA-PBE)

Data for crystalline BeReTe2I at its relaxed geometry. Values from VASP.

```
&SYSTEM
  ibrav = 0, nat = 5, ntyp = 4
/
ATOMIC_SPECIES
I 126.90 I.upf
Be 9.01 Be.upf
Te 127.60 Te.upf
Re 186.21 Re.upf
ATOMIC_POSITIONS crystal
I 0.000 0.000 0.500
Be 0.500 0.500 0.500
Te 0.500 0.000 0.000
Te 0.000 0.500 0.000
Re 0.000 0.000 0.000
CELL_PARAMETERS angstrom
5.148 0.000 0.000
0.000 5.148 0.000
0.000 0.000 5.840
```

Summary:
* formation energy without anion corrections: 1.11 eV/atom
* space group: P4/mmm (123)
* magnetization: 0.000 μB per atom
* ΔE to the lowest computed polymorph: 0.000 eV/atom
* crystal system: tetragonal